First-principles (PBE) data for an optimized crystal structure of Rb2CaMgAl, as listed in Alexandria via LeMat-Bulk.

## Properties
The calculation puts the formation enthalpy at 0 K at 0.9010 eV per atom.

Geometry as POSCAR:
```
Rb2CaMgAl
1.0
7.4034 0.0000 0.0000
0.0000 6.1316 0.0000
0.0000 0.0000 7.4034
Al Mg Ca Rb
1 1 1 2
direct
0.5000 0.5000 0.5000 Al
0.0000 0.5000 0.0000 Mg
0.0000 0.0000 0.0000 Ca
0.5000 0.0000 0.0000 Rb
0.0000 0.0000 0.5000 Rb
```

First-principles (PBE) data for an optimized crystal structure of CaMg2AlRh, as listed in Alexandria via LeMat-Bulk.

## Properties
The calculation puts the formation enthalpy at 0 K at -0.3149 eV per atom.

Geometry as POSCAR:
```
CaMg2AlRh
1.0
4.9829 0.0000 0.0000
0.0000 4.9829 0.0000
0.0000 0.0000 4.7765
Rh Mg Ca Al
1 2 1 1
direct
0.0000 0.0000 0.0000 Rh
0.5000 0.0000 0.0000 Mg
0.0000 0.5000 0.0000 Mg
0.5000 0.5000 0.5000 Ca
0.0000 0.0000 0.5000 Al
```

First-principles (PBE) data for an optimized crystal structure of CaMgAl2Ru, as listed in Alexandria via LeMat-Bulk.

## Properties
The calculation puts the formation enthalpy at 0 K at -0.2518 eV per atom.

Geometry as POSCAR:
```
CaMgAl2Ru
1.0
-1.5796 0.9776 4.3749
-3.1824 -3.5115 -0.3644
3.2928 -3.1814 1.8998
Ru Ca Al Mg
1 1 2 1
direct
0.0000 0.0000 0.0000 Ru
0.5000 0.5000 0.5000 Ca
0.5000 0.0000 0.0000 Al
0.0000 0.5000 0.0000 Al
0.0000 0.0000 0.5000 Mg
```

What is the formation enthalpy at 0 K in the first record?
0.9010 eV per atom

Look up the formation enthalpy at 0 K of the third one.
-0.2518 eV per atom

Which of these has the lowest formation enthalpy at 0 K?
CaMg2AlRh

Which value of formation enthalpy at 0 K does entry 2 give?
-0.3149 eV per atom